Crystalline K2NdP2S7 at its relaxed geometry. Source: Alexandria via LeMat-Bulk, functional GGA-PBEsol.

## Properties
- total magnetic moment (μB/cell) = 0.00
- E_form (uncorrected) (kJ/mol of atoms) = -101.8

Structure (POSCAR):
```
K2NdP2S7
1.0
6.7896 0.0000 0.0000
0.0000 8.9752 -0.0972
0.0000 -2.1562 19.6411
S P K Nd
28 8 8 4
Direct
0.0206 0.9532 0.7409
0.2537 0.5241 0.5985
0.2534 0.4610 0.8930
0.4650 0.7797 0.5057
0.2735 0.5934 0.1076
0.2463 0.0241 0.0985
0.0350 0.2797 0.0057
0.9794 0.0468 0.2591
0.7466 0.5390 0.1070
0.0804 0.6942 0.2792
0.7621 0.0567 0.1002
0.4196 0.1942 0.7792
0.7265 0.4066 0.8924
0.7537 0.9759 0.9015
0.9650 0.7203 0.9943
0.7735 0.9066 0.3924
0.2466 0.9610 0.3930
0.7379 0.5567 0.6002
0.5350 0.2203 0.4943
0.7463 0.4759 0.4015
0.2621 0.4433 0.3998
0.5206 0.5468 0.7591
0.4794 0.4532 0.2409
0.2265 0.0934 0.6076
0.9196 0.3058 0.7208
0.5804 0.8058 0.2208
0.2379 0.9433 0.8998
0.7534 0.0390 0.6070
0.4900 0.5844 0.5451
0.4860 0.4020 0.8305
0.5100 0.4156 0.4549
0.0140 0.9020 0.3305
0.9900 0.9156 0.9549
0.0100 0.0844 0.0451
0.5140 0.5980 0.1695
0.9860 0.0980 0.6695
0.9902 0.7574 0.5094
0.4629 0.8488 0.6884
0.0371 0.3488 0.1884
0.9629 0.6512 0.8116
0.5098 0.2574 0.0094
0.0098 0.2426 0.4906
0.4902 0.7426 0.9906
0.5371 0.1512 0.3116
0.9690 0.8083 0.1501
0.4690 0.6917 0.3499
0.0310 0.1917 0.8499
0.5310 0.3083 0.6501
```